# BaYC2

Crystalline BaYC2 at its relaxed geometry (PBE, the Alexandria database).

Computed properties:
Crystal system: cubic
DOS at the Fermi energy, states/eV per atom: 1.260
Total energy, eV per atom: -5.440
Total magnetization, μB/atom: 0.0000
Excess energy over the best structure of this formula in the dataset, eV per atom: 0.209
E_form, eV/atom: 1.2684

Cell lengths 4.713, 4.713, 4.713 Å; angles 60.00, 60.00, 60.00 degrees
Atoms (fractional coordinates):
1 Y 0.000 0.000 0.000
2 C 0.250 0.250 0.250
3 C 0.750 0.750 0.750
4 Ba 0.500 0.500 0.500

***

# BaYC3

Crystalline BaYC3 at its relaxed geometry (PBE, the Alexandria database).

Computed properties:
Crystal system: cubic
DOS at the Fermi energy, states/eV per atom: 0.897
Total energy, eV per atom: -5.574
Total magnetization, μB/atom: 0.0000
Excess energy over the best structure of this formula in the dataset, eV per atom: 0.000
E_form, eV/atom: 1.6374

Cell lengths 4.646, 4.646, 4.646 Å; angles 90.00, 90.00, 90.00 degrees
Atoms (fractional coordinates):
1 Y 0.000 0.000 0.000
2 C 0.000 0.500 0.000
3 C 0.000 0.000 0.500
4 C 0.500 0.000 0.000
5 Ba 0.500 0.500 0.500

***

# BaYC2

Crystalline BaYC2 at its relaxed geometry (PBE, the Alexandria database).

Computed properties:
Crystal system: tetragonal
DOS at the Fermi energy, states/eV per atom: 0.611
Total energy, eV per atom: -5.649
Total magnetization, μB/atom: 0.2375
Excess energy over the best structure of this formula in the dataset, eV per atom: 0.000
E_form, eV/atom: 1.0597

Cell lengths 5.511, 5.511, 7.771 Å; angles 69.23, 69.23, 90.00 degrees
Last column: magnetic moment on the atom in μB.
Atoms (fractional coordinates):
1 Y 0.500 0.500 0.000  0.08
2 Y 0.250 0.750 0.500  0.08
3 C 0.541 0.125 0.250  0.20
4 C 0.209 0.625 0.250  0.20
5 C 0.375 0.459 0.750  0.22
6 C 0.875 0.791 0.750  0.21
7 Ba 0.000 0.000 0.000  0.03
8 Ba 0.750 0.250 0.500  0.04